(1)
The following is a DFT calculation (GGA-PBE) of GaP2F after structural relaxation.

The symmetry is Fm-3m. The volume is 223.5 Å³ per cell. Its excess energy over the best structure of this formula in the dataset is 0.3831 eV/atom. Its density of states at the Fermi level is 0.427 states/eV per atom. The calculation puts the uncorrected formation energy at -22 kJ/mol of formula units.

abc: 6.0685 6.0685 6.0685
angles: 90.00 90.00 90.00
Last column: nearest neighbours and their distance in Å.
Atoms (fractional coordinates):
Ga 0.0000 0.0000 0.0000  8 P 2.63
Ga 0.0000 0.5000 0.5000  8 P 2.63
Ga 0.5000 0.0000 0.5000  8 P 2.63
Ga 0.5000 0.5000 0.0000  8 P 2.63
P 0.2500 0.2500 0.2500  4 F 2.63, 4 Ga 2.63
P 0.2500 0.2500 0.7500  4 F 2.63, 4 Ga 2.63
P 0.2500 0.7500 0.2500  4 F 2.63, 4 Ga 2.63
P 0.2500 0.7500 0.7500  4 F 2.63, 4 Ga 2.63
P 0.7500 0.2500 0.2500  4 F 2.63, 4 Ga 2.63
P 0.7500 0.2500 0.7500  4 F 2.63, 4 Ga 2.63
P 0.7500 0.7500 0.2500  4 F 2.63, 4 Ga 2.63
P 0.7500 0.7500 0.7500  4 F 2.63, 4 Ga 2.63
F 0.0000 0.0000 0.5000  8 P 2.63
F 0.0000 0.5000 0.0000  8 P 2.63
F 0.5000 0.0000 0.0000  8 P 2.63
F 0.5000 0.5000 0.5000  8 P 2.63

(2)
The following is a DFT calculation (GGA-PBE) of La2GaSi3Ni4 after structural relaxation.

The symmetry is P-4m2. The volume is 165.7 Å³ per cell. Its density of states at the Fermi level is 0.610 states/eV per atom. The calculation puts the uncorrected formation energy at -713 kJ/mol of formula units.

abc: 4.1288 4.1288 9.7221
angles: 90.00 90.00 90.00
Last column: nearest neighbours and their distance in Å.
Atoms (fractional coordinates):
La 0.0000 0.5000 0.2478  8 Ni 3.14-3.17, 6 Si 3.17-3.21, 2 Ga 3.21
La 0.5000 0.0000 0.7522  8 Ni 3.14-3.17, 6 Si 3.17-3.21, 2 Ga 3.21
Ga 0.0000 0.0000 0.5000  4 Ni 2.44
Si 0.0000 0.5000 0.8792  5 Ni 2.37-2.39
Si 0.5000 0.0000 0.1208  5 Ni 2.37-2.39
Si 0.5000 0.5000 0.5000  4 Ni 2.44
Ni 0.0000 0.0000 0.0000  4 Si 2.37
Ni 0.0000 0.5000 0.6331  3 Si 2.39-2.44, 2 Ga 2.44
Ni 0.5000 0.0000 0.3669  3 Si 2.39-2.44, 2 Ga 2.44
Ni 0.5000 0.5000 0.0000  4 Si 2.37

(3)
The following is a DFT calculation (GGA-PBE) of AcBeAsO after structural relaxation.

The symmetry is P6_3mc. The volume is 156.7 Å³ per cell. Its density of states at the Fermi level is 0.000 states/eV per atom. The calculation puts the uncorrected formation energy at -723 kJ/mol of formula units.

abc: 4.1313 4.1313 10.6020
angles: 90.00 90.00 120.00
Last column: nearest neighbours and their distance in Å.
Atoms (fractional coordinates):
Ac 0.3333 0.6667 0.0000  3 O 2.52
Ac 0.6667 0.3333 0.5000  3 O 2.52
Be 0.0000 0.0000 0.2242  1 O 1.57
Be 0.0000 0.0000 0.7242  1 O 1.57
As 0.3333 0.6667 0.2977  3 Be 2.51
As 0.6667 0.3333 0.7977  3 Be 2.51
O 0.0000 0.0000 0.0757  1 Be 1.57
O 0.0000 0.0000 0.5757  1 Be 1.57

(4)
The following is a DFT calculation (GGA-PBE) of Na3Ce2Br8 after structural relaxation.

The symmetry is C2/m. The volume is 444.3 Å³ per cell. Its density of states at the Fermi level is 1.436 states/eV per atom. The calculation puts the uncorrected formation energy at -2025 kJ/mol of formula units.

abc: 8.8600 8.8600 7.1892
angles: 106.41 106.41 56.20
Last column: nearest neighbours and their distance in Å.
Atoms (fractional coordinates):
Na 0.0000 0.0000 0.0000  6 Br 2.98-3.05
Na 0.2617 0.7383 0.5000  6 Br 2.94-3.01
Na 0.7383 0.2617 0.5000  6 Br 2.94-3.01
Ce 0.2572 0.2572 0.8268  6 Br 2.93-3.09
Ce 0.7428 0.7428 0.1732  6 Br 2.93-3.09
Br 0.1142 0.6360 0.0834  2 Na 2.98-3.01, 2 Ce 3.06-3.09
Br 0.1162 0.1162 0.4311  3 Na 2.98-3.05, 1 Ce 2.99
Br 0.3640 0.8858 0.9166  2 Na 2.98-3.01, 2 Ce 3.06-3.09
Br 0.3834 0.3834 0.6015  1 Ce 2.93, 2 Na 2.94
Br 0.6166 0.6166 0.3985  1 Ce 2.93, 2 Na 2.94
Br 0.6360 0.1142 0.0834  2 Na 2.98-3.01, 2 Ce 3.06-3.09
Br 0.8838 0.8838 0.5689  3 Na 2.98-3.05, 1 Ce 2.99
Br 0.8858 0.3640 0.9166  2 Na 2.98-3.01, 2 Ce 3.06-3.09

(5)
The following is a DFT calculation (GGA-PBE) of NdPaTl2O8 after structural relaxation.

The symmetry is I-4m2. The volume is 193.2 Å³ per cell. Its density of states at the Fermi level is 0.571 states/eV per atom. The calculation puts the uncorrected formation energy at -2056 kJ/mol of formula units.

abc: 6.3157 6.3157 6.3157
angles: 111.56 111.56 105.36
Last column: nearest neighbours and their distance in Å.
Atoms (fractional coordinates):
Nd 0.0000 0.0000 0.0000  8 O 2.36-2.55
Pa 0.2500 0.7500 0.5000  8 O 2.20-2.38
Tl 0.5000 0.5000 0.0000  4 O 2.16
Tl 0.7500 0.2500 0.5000  4 O 2.13
O 0.2815 0.0895 0.8081  1 Tl 2.16, 1 Pa 2.20
O 0.2815 0.4734 0.1919  1 Tl 2.16, 1 Pa 2.20
O 0.3515 0.0195 0.3320  1 Tl 2.13, 1 Nd 2.36, 1 Pa 2.38, 1 O 2.39
O 0.5266 0.7185 0.8081  1 Tl 2.16, 1 Pa 2.20
O 0.6875 0.0195 0.6680  1 Tl 2.13, 1 Nd 2.36, 1 Pa 2.38, 1 O 2.39
O 0.9105 0.7185 0.1919  1 Tl 2.16, 1 Pa 2.20
O 0.9805 0.3125 0.3320  1 Tl 2.13, 1 Nd 2.36, 1 Pa 2.38, 1 O 2.39
O 0.9805 0.6485 0.6680  1 Tl 2.13, 1 Nd 2.36, 1 Pa 2.38, 1 O 2.39

(6)
The following is a DFT calculation (GGA-PBE) of Na3In2Hg5 after structural relaxation.

The symmetry is C2/c. The value obtained for the formation enthalpy at 0 K is -159.1 meV/atom. The volume is 523.7 Å³ per cell. Its excess energy over the best structure of this formula in the dataset is 0.0000 eV/atom. Its density of states at the Fermi level is 0.326 states/eV per atom.

abc: 10.0692 10.0692 5.4679
angles: 102.73 102.73 93.77
Last column: nearest neighbours and their distance in Å.
Atoms (fractional coordinates):
Na 0.0579 0.9421 0.7500  8 Hg 3.17-3.50, 2 Na 3.22, 2 In 3.30
Na 0.2388 0.4858 0.1376  8 Hg 3.09-3.41, 2 In 3.28-3.30
Na 0.4858 0.2388 0.6376  8 Hg 3.09-3.41, 2 In 3.28-3.30
Na 0.5142 0.7612 0.3624  8 Hg 3.09-3.41, 2 In 3.28-3.30
Na 0.7612 0.5142 0.8624  8 Hg 3.09-3.41, 2 In 3.28-3.30
Na 0.9421 0.0579 0.2500  8 Hg 3.17-3.50, 2 Na 3.22, 2 In 3.30
In 0.1255 0.6211 0.6439  5 Hg 3.03-3.29, 2 In 3.25-3.30, 3 Na 3.28-3.30
In 0.3789 0.8745 0.8561  5 Hg 3.03-3.29, 2 In 3.25-3.30, 3 Na 3.28-3.30
In 0.6211 0.1255 0.1439  5 Hg 3.03-3.29, 2 In 3.25-3.30, 3 Na 3.28-3.30
In 0.8745 0.3789 0.3561  5 Hg 3.03-3.29, 2 In 3.25-3.30, 3 Na 3.28-3.30
Hg 0.0387 0.7285 0.1409  2 In 3.03-3.14, 2 Hg 3.04-3.20, 3 Na 3.27-3.37
Hg 0.1840 0.2977 0.5305  4 Na 3.09-3.35, 4 Hg 3.20-3.38, 2 In 3.26-3.29
Hg 0.2715 0.9613 0.3591  2 In 3.03-3.14, 2 Hg 3.04-3.20, 3 Na 3.27-3.37
Hg 0.2977 0.1840 0.0305  4 Na 3.09-3.35, 4 Hg 3.20-3.38, 2 In 3.26-3.29
Hg 0.4410 0.5590 0.7500  6 Na 3.23-3.41, 2 In 3.23, 4 Hg 3.24-3.38
Hg 0.5590 0.4410 0.2500  6 Na 3.23-3.41, 2 In 3.23, 4 Hg 3.24-3.38
Hg 0.7023 0.8160 0.9695  4 Na 3.09-3.35, 4 Hg 3.20-3.38, 2 In 3.26-3.29
Hg 0.7285 0.0387 0.6409  2 In 3.03-3.14, 2 Hg 3.04-3.20, 3 Na 3.27-3.37
Hg 0.8160 0.7023 0.4695  4 Na 3.09-3.35, 4 Hg 3.20-3.38, 2 In 3.26-3.29
Hg 0.9613 0.2715 0.8591  2 In 3.03-3.14, 2 Hg 3.04-3.20, 3 Na 3.27-3.37

(7)
The following is a DFT calculation (GGA-PBE) of Mn2InSe4 after structural relaxation.

The symmetry is I4_1/amd. The volume is 340.0 Å³ per cell. Its density of states at the Fermi level is 0.338 states/eV per atom. The calculation puts the uncorrected formation energy at -313 kJ/mol of formula units.

abc: 7.8271 7.8271 7.8271
angles: 119.81 119.81 90.33
Last column: nearest neighbours and their distance in Å.
Atoms (fractional coordinates):
Mn 0.0000 0.0000 0.0000  6 Se 2.62-2.64
Mn 0.0000 0.0000 0.5000  6 Se 2.62-2.64
Mn 0.0000 0.5000 0.0000  6 Se 2.62-2.64
Mn 0.5000 0.0000 0.5000  6 Se 2.62-2.64
In 0.3750 0.6250 0.7500  4 Se 2.65
In 0.6250 0.3750 0.2500  4 Se 2.65
Se 0.2103 0.2369 0.9734  3 Mn 2.62-2.64, 1 In 2.65
Se 0.2364 0.7631 0.4734  3 Mn 2.62-2.64, 1 In 2.65
Se 0.2369 0.2103 0.4734  3 Mn 2.62-2.64, 1 In 2.65
Se 0.2369 0.7636 0.0266  3 Mn 2.62-2.64, 1 In 2.65
Se 0.7631 0.2364 0.9734  3 Mn 2.62-2.64, 1 In 2.65
Se 0.7631 0.7897 0.5266  3 Mn 2.62-2.64, 1 In 2.65
Se 0.7636 0.2369 0.5266  3 Mn 2.62-2.64, 1 In 2.65
Se 0.7897 0.7631 0.0266  3 Mn 2.62-2.64, 1 In 2.65

(8)
The following is a DFT calculation (GGA-PBE) of Nd3Au5S12 after structural relaxation.

The symmetry is Ia-3d. The volume is 1862.0 Å³ per cell. Its density of states at the Fermi level is 0.596 states/eV per atom. The calculation puts the uncorrected formation energy at -1098 kJ/mol of formula units.

abc: 13.4234 13.4234 13.4234
angles: 109.47 109.47 109.47
Last column: nearest neighbours and their distance in Å.
Atoms (fractional coordinates):
Nd 0.1250 0.2500 0.3750  8 S 2.91-3.00
Nd 0.1250 0.3750 0.7500  8 S 2.91-3.00
Nd 0.2500 0.3750 0.1250  8 S 2.91-3.00
Nd 0.2500 0.8750 0.6250  8 S 2.91-3.00
Nd 0.3750 0.1250 0.2500  8 S 2.91-3.00
Nd 0.3750 0.7500 0.1250  8 S 2.91-3.00
Nd 0.6250 0.2500 0.8750  8 S 2.91-3.00
Nd 0.6250 0.8750 0.7500  8 S 2.91-3.00
Nd 0.7500 0.1250 0.3750  8 S 2.91-3.00
Nd 0.7500 0.6250 0.8750  8 S 2.91-3.00
Nd 0.8750 0.6250 0.2500  8 S 2.91-3.00
Nd 0.8750 0.7500 0.6250  8 S 2.91-3.00
Au 0.0000 0.0000 0.0000  6 S 2.49
Au 0.0000 0.0000 0.5000  6 S 2.49
Au 0.0000 0.5000 0.0000  6 S 2.49
Au 0.0000 0.5000 0.5000  6 S 2.49
Au 0.1250 0.7500 0.8750  4 S 2.43
Au 0.1250 0.8750 0.2500  4 S 2.43
Au 0.2500 0.1250 0.8750  4 S 2.43
Au 0.2500 0.6250 0.3750  4 S 2.43
Au 0.3750 0.2500 0.6250  4 S 2.43
Au 0.3750 0.6250 0.7500  4 S 2.43
Au 0.5000 0.0000 0.0000  6 S 2.49
Au 0.5000 0.0000 0.5000  6 S 2.49
Au 0.5000 0.5000 0.0000  6 S 2.49
Au 0.5000 0.5000 0.5000  6 S 2.49
Au 0.6250 0.3750 0.2500  4 S 2.43
Au 0.6250 0.7500 0.3750  4 S 2.43
Au 0.7500 0.3750 0.6250  4 S 2.43
Au 0.7500 0.8750 0.1250  4 S 2.43
Au 0.8750 0.1250 0.7500  4 S 2.43
Au 0.8750 0.2500 0.1250  4 S 2.43
S 0.0377 0.2068 0.1271  2 Au 2.43-2.49
S 0.0377 0.3309 0.9106  2 Au 2.43-2.49
S 0.0797 0.7068 0.6691  2 Au 2.43-2.49
S 0.0797 0.8729 0.4106  2 Au 2.43-2.49
S 0.0894 0.6271 0.4203  2 Au 2.43-2.49
S 0.0894 0.9623 0.6691  2 Au 2.43-2.49
S 0.1271 0.0377 0.2068  2 Au 2.43-2.49
S 0.1271 0.5894 0.9203  2 Au 2.43-2.49
S 0.1691 0.2068 0.5797  2 Au 2.43-2.49
S 0.1691 0.4623 0.5894  2 Au 2.43-2.49
S 0.2068 0.1271 0.0377  2 Au 2.43-2.49
S 0.2068 0.5797 0.1691  2 Au 2.43-2.49
S 0.2932 0.3309 0.9203  2 Au 2.43-2.49
S 0.2932 0.4623 0.3729  2 Au 2.43-2.49
S 0.3309 0.9106 0.0377  2 Au 2.43-2.49
S 0.3309 0.9203 0.2932  2 Au 2.43-2.49
S 0.3729 0.2932 0.4623  2 Au 2.43-2.49
S 0.3729 0.5797 0.9106  2 Au 2.43-2.49
S 0.4106 0.0797 0.8729  2 Au 2.43-2.49
S 0.4106 0.8309 0.5377  2 Au 2.43-2.49
S 0.4203 0.0894 0.6271  2 Au 2.43-2.49
S 0.4203 0.8309 0.7932  2 Au 2.43-2.49
S 0.4623 0.3729 0.2932  2 Au 2.43-2.49
S 0.4623 0.5894 0.1691  2 Au 2.43-2.49
S 0.5377 0.4106 0.8309  2 Au 2.43-2.49
S 0.5377 0.6271 0.7068  2 Au 2.43-2.49
S 0.5797 0.1691 0.2068  2 Au 2.43-2.49
S 0.5797 0.9106 0.3729  2 Au 2.43-2.49
S 0.5894 0.1691 0.4623  2 Au 2.43-2.49
S 0.5894 0.9203 0.1271  2 Au 2.43-2.49
S 0.6271 0.4203 0.0894  2 Au 2.43-2.49
S 0.6271 0.7068 0.5377  2 Au 2.43-2.49
S 0.6691 0.0797 0.7068  2 Au 2.43-2.49
S 0.6691 0.0894 0.9623  2 Au 2.43-2.49
S 0.7068 0.5377 0.6271  2 Au 2.43-2.49
S 0.7068 0.6691 0.0797  2 Au 2.43-2.49
S 0.7932 0.4203 0.8309  2 Au 2.43-2.49
S 0.7932 0.8729 0.9623  2 Au 2.43-2.49
S 0.8309 0.5377 0.4106  2 Au 2.43-2.49
S 0.8309 0.7932 0.4203  2 Au 2.43-2.49
S 0.8729 0.4106 0.0797  2 Au 2.43-2.49
S 0.8729 0.9623 0.7932  2 Au 2.43-2.49
S 0.9106 0.0377 0.3309  2 Au 2.43-2.49
S 0.9106 0.3729 0.5797  2 Au 2.43-2.49
S 0.9203 0.1271 0.5894  2 Au 2.43-2.49
S 0.9203 0.2932 0.3309  2 Au 2.43-2.49
S 0.9623 0.6691 0.0894  2 Au 2.43-2.49
S 0.9623 0.7932 0.8729  2 Au 2.43-2.49

Copy entry 2 word for word.
The following is a DFT calculation (GGA-PBE) of La2GaSi3Ni4 after structural relaxation.

The symmetry is P-4m2. The volume is 165.7 Å³ per cell. Its density of states at the Fermi level is 0.610 states/eV per atom. The calculation puts the uncorrected formation energy at -713 kJ/mol of formula units.

abc: 4.1288 4.1288 9.7221
angles: 90.00 90.00 90.00
Last column: nearest neighbours and their distance in Å.
Atoms (fractional coordinates):
La 0.0000 0.5000 0.2478  8 Ni 3.14-3.17, 6 Si 3.17-3.21, 2 Ga 3.21
La 0.5000 0.0000 0.7522  8 Ni 3.14-3.17, 6 Si 3.17-3.21, 2 Ga 3.21
Ga 0.0000 0.0000 0.5000  4 Ni 2.44
Si 0.0000 0.5000 0.8792  5 Ni 2.37-2.39
Si 0.5000 0.0000 0.1208  5 Ni 2.37-2.39
Si 0.5000 0.5000 0.5000  4 Ni 2.44
Ni 0.0000 0.0000 0.0000  4 Si 2.37
Ni 0.0000 0.5000 0.6331  3 Si 2.39-2.44, 2 Ga 2.44
Ni 0.5000 0.0000 0.3669  3 Si 2.39-2.44, 2 Ga 2.44
Ni 0.5000 0.5000 0.0000  4 Si 2.37

Repeat the seventh record exactly.
The following is a DFT calculation (GGA-PBE) of Mn2InSe4 after structural relaxation.

The symmetry is I4_1/amd. The volume is 340.0 Å³ per cell. Its density of states at the Fermi level is 0.338 states/eV per atom. The calculation puts the uncorrected formation energy at -313 kJ/mol of formula units.

abc: 7.8271 7.8271 7.8271
angles: 119.81 119.81 90.33
Last column: nearest neighbours and their distance in Å.
Atoms (fractional coordinates):
Mn 0.0000 0.0000 0.0000  6 Se 2.62-2.64
Mn 0.0000 0.0000 0.5000  6 Se 2.62-2.64
Mn 0.0000 0.5000 0.0000  6 Se 2.62-2.64
Mn 0.5000 0.0000 0.5000  6 Se 2.62-2.64
In 0.3750 0.6250 0.7500  4 Se 2.65
In 0.6250 0.3750 0.2500  4 Se 2.65
Se 0.2103 0.2369 0.9734  3 Mn 2.62-2.64, 1 In 2.65
Se 0.2364 0.7631 0.4734  3 Mn 2.62-2.64, 1 In 2.65
Se 0.2369 0.2103 0.4734  3 Mn 2.62-2.64, 1 In 2.65
Se 0.2369 0.7636 0.0266  3 Mn 2.62-2.64, 1 In 2.65
Se 0.7631 0.2364 0.9734  3 Mn 2.62-2.64, 1 In 2.65
Se 0.7631 0.7897 0.5266  3 Mn 2.62-2.64, 1 In 2.65
Se 0.7636 0.2369 0.5266  3 Mn 2.62-2.64, 1 In 2.65
Se 0.7897 0.7631 0.0266  3 Mn 2.62-2.64, 1 In 2.65

> Which of these has the highest volume?

Nd3Au5S12

> Which value of volume does entry 3 give?

156.7 Å³ per cell